Below is a geometry-optimized Zr3CoSn structure, with properties calculated at the GGA-PBE level.

Results
SG = Pm-3m, No. 221
Crystal system = cubic

The structure in POSCAR format:
```
Zr3CoSn
1.0
4.833 0.000 0.000
0.000 4.833 0.000
0.000 0.000 4.833
Zr Co Sn
3 1 1
Cartesian
0.000 0.000 2.417
0.000 2.417 0.000
2.417 0.000 0.000
0.000 0.000 0.000
2.417 2.417 2.417
```

***

Below is a geometry-optimized Zr18Co5Sn4 structure, with properties calculated at the GGA-PBE level.

Results
SG = Pm, No. 6
Crystal system = monoclinic

The structure in POSCAR format:
```
Zr18Co5Sn4
1.0
7.969 0.000 0.000
0.000 3.396 0.000
-3.972 0.000 20.663
Zr Co Sn
18 5 4
Cartesian
0.000 0.000 0.000
-3.292 0.000 17.139
5.243 1.698 14.170
-1.663 1.698 8.855
-1.618 1.698 19.355
1.269 0.000 4.497
1.250 1.698 7.190
2.270 1.698 1.973
0.891 0.000 9.932
0.143 0.000 14.130
2.330 1.698 12.418
1.290 0.000 18.355
4.620 0.000 3.336
5.226 1.698 0.407
4.016 0.000 6.863
2.326 1.698 15.795
4.846 0.000 11.394
6.357 1.698 5.511
-0.694 0.000 7.182
3.316 0.000 0.350
3.302 1.698 4.899
3.313 0.000 14.135
3.293 1.698 18.727
-0.704 1.698 11.811
-0.695 1.698 16.521
3.332 1.698 9.401
7.271 1.698 2.630
```

***

Below is a geometry-optimized Zr4CoSn structure, with properties calculated at the GGA-PBE level.

Results
SG = P4/mcc, No. 124
Crystal system = tetragonal

The structure in POSCAR format:
```
Zr4CoSn
1.0
6.686 0.000 0.000
0.000 6.686 0.000
0.000 0.000 5.638
Zr Co Sn
8 2 2
Cartesian
0.930 2.127 0.000
0.930 4.559 2.819
2.127 0.930 2.819
2.127 5.756 0.000
4.559 0.930 0.000
4.559 5.756 2.819
5.756 2.127 2.819
5.756 4.559 0.000
0.000 0.000 1.410
0.000 0.000 4.229
3.343 3.343 1.410
3.343 3.343 4.229
```

***

Below is a geometry-optimized ZrCoSn3 structure, with properties calculated at the GGA-PBE level.

Results
SG = Pm-3m, No. 221
Crystal system = cubic

The structure in POSCAR format:
```
ZrCoSn3
1.0
4.887 0.000 0.000
0.000 4.887 0.000
0.000 0.000 4.887
Zr Co Sn
1 1 3
Cartesian
0.000 0.000 0.000
2.444 2.444 2.444
0.000 2.444 2.444
2.444 0.000 2.444
2.444 2.444 0.000
```

***

| no. | final energy (eV/cell) | energy of formation from the pure elements (eV per formula unit) |
| --- | --- | --- |
| 1 | -37.4 | -0.7 |
| 2 | -215.1 | -9.7 |
| 3 | -94.5 | -1.9 |
| 4 | -26.0 | 1.7 |